(1)
Material: As3Au4
Method: DFT, meta-GGA SCAN
State: single point on PBEsol structure

Calculated values
Formation energy from the elements   0.19 eV/atom

a = 3.5249 Å, b = 3.5249 Å, c = 10.4589 Å
α = 99.70°, β = 99.70°, γ = 90.00°
Fractional coordinates of all 7 atoms:
Au1 0.1436 0.1436 0.2873
Au2 0.4316 0.4316 0.8632
Au3 0.5684 0.5684 0.1368
Au4 0.8564 0.8564 0.7127
As1 0.3006 0.3006 0.6011
As2 0.0000 0.0000 0.0000
As3 0.6994 0.6994 0.3989



(2)
Material: K2NaPrBr6
Method: DFT, meta-GGA SCAN
State: single point on PBEsol structure

Calculated values
Uncorrected formation energy   -1.92 eV per atom

a = 8.0169 Å, b = 8.0169 Å, c = 8.0169 Å
α = 60.00°, β = 60.00°, γ = 60.00°
Fractional coordinates of all 10 atoms:
Br1 0.7485 0.7485 0.2515
Br2 0.2515 0.7485 0.2515
Br3 0.2515 0.7485 0.7485
Br4 0.7485 0.2515 0.7485
Br5 0.2515 0.2515 0.7485
Br6 0.7485 0.2515 0.2515
K1 0.7500 0.7500 0.7500
K2 0.2500 0.2500 0.2500
Pr1 0.0000 0.0000 0.0000
Na1 0.5000 0.5000 0.5000



(3)
Material: TaBeW2
Method: DFT, meta-GGA SCAN
State: single point on PBEsol structure

Calculated values
Formation energy from the elements   0.21 eV/atom

a = 2.6835 Å, b = 2.6835 Å, c = 8.0794 Å
α = 90.00°, β = 90.00°, γ = 90.00°
Fractional coordinates of all 4 atoms:
Be1 0.0000 0.0000 0.4947
Ta1 0.5000 0.5000 0.7146
W1 0.0000 0.0000 0.0039
W2 0.5000 0.5000 0.2867



(4)
Material: AlAu
Method: DFT, meta-GGA SCAN
State: single point on PBEsol structure

Calculated values
Formation energy from the elements   -0.30 eV/atom

a = 3.0159 Å, b = 3.0159 Å, c = 8.6069 Å
α = 79.91°, β = 79.91°, γ = 60.00°
Fractional coordinates of all 4 atoms:
Al1 0.1236 0.1236 0.6293
Al2 0.8764 0.8764 0.3707
Au1 0.3799 0.3799 0.8602
Au2 0.6201 0.6201 0.1398



(5)
Material: Li2Cr2S
Method: DFT, meta-GGA SCAN
State: single point on PBEsol structure

Calculated values
Uncorrected formation energy   0.61 eV per atom

a = 3.0074 Å, b = 3.0074 Å, c = 7.2647 Å
α = 101.95°, β = 101.95°, γ = 90.00°
Site moments in Bohr magnetons follow the coordinates.
Fractional coordinates of all 5 atoms:
Cr1 0.4217 0.4217 0.8435  0.83
Cr2 0.5783 0.5783 0.1565  0.83
Li1 0.7500 0.2500 0.5000  0.02
Li2 0.2500 0.7500 0.5000  0.02
S1 0.0000 0.0000 0.0000  -0.08



(6)
Material: NiHg2Sb
Method: DFT, meta-GGA SCAN
State: single point on PBEsol structure

Calculated values
Uncorrected formation energy   0.07 eV per atom

a = 3.4007 Å, b = 3.4007 Å, c = 8.4691 Å
α = 78.42°, β = 78.42°, γ = 60.00°
Fractional coordinates of all 4 atoms:
Ni1 0.5025 0.5025 0.4926
Sb1 0.2314 0.2314 0.3058
Hg1 0.0029 0.0029 0.9912
Hg2 0.7632 0.7632 0.7104



Q: Which spin magnetization values were calculated for the entries above? A: 0.0000; 0.0000; 0.0000; 0.0000; 0.3669; 0.0000, in μB/atom.